*1*
Tm3Se2 PBE-GGA optimized geometry; spin magnetization = 0.000 μB/f.u.; crystal system = trigonal
1.0
6.805 0.000 0.000
3.403 5.894 0.000
3.403 1.965 6.511
Se Tm
4 6
direct
0.164 0.164 0.509
0.336 0.336 0.991
0.664 0.664 0.009
0.836 0.836 0.491
0.583 0.917 0.250
0.750 0.417 0.750
0.417 0.083 0.750
0.250 0.583 0.250
0.083 0.750 0.750
0.917 0.250 0.250

---

*2*
Tm3Se2 PBE-GGA optimized geometry; spin magnetization = 0.397 μB/f.u.; crystal system = trigonal
1.0
-2.503 -1.712 2.372
0.887 -0.478 3.715
-4.555 8.035 4.116
Tm Se
3 2
direct
0.212 0.212 0.364
0.000 0.000 0.000
0.788 0.788 0.636
0.608 0.608 0.175
0.392 0.392 0.825

---

Of them, *1* has the lowest stability.

---

*1*
Tm3Se4 PBE-GGA optimized geometry; spin magnetization = 0.000 μB/f.u.; crystal system = tetragonal
1.0
-0.789 -0.556 -5.584
-5.028 -2.434 0.953
0.442 6.528 2.163
Se Tm
4 3
direct
0.253 0.253 0.507
0.747 0.747 0.493
0.000 0.500 0.000
0.500 0.000 0.000
0.000 0.000 0.000
0.750 0.250 0.500
0.250 0.750 0.500

---

*2*
Tm3Se4 PBE-GGA optimized geometry; spin magnetization = 0.000 μB/f.u.; crystal system = trigonal
1.0
4.051 0.000 0.000
2.025 3.508 0.000
2.025 1.169 13.565
Se Tm
4 3
direct
0.374 0.374 0.878
0.120 0.120 0.639
0.880 0.880 0.361
0.626 0.626 0.122
0.000 0.000 0.000
0.247 0.247 0.258
0.753 0.753 0.742

---

Of them, *2* has the lowest stability.

---

*1*
TmU2Se6 PBE-GGA optimized geometry; spin magnetization = 2.997 μB/f.u.; crystal system = monoclinic
1.0
-0.855 1.102 5.232
0.611 -6.180 4.203
6.838 0.462 3.822
U Se Tm
2 6 1
direct
0.184 0.741 0.891
0.816 0.259 0.109
0.744 0.643 0.870
0.375 0.711 0.539
0.625 0.289 0.461
0.957 0.856 0.231
0.043 0.144 0.769
0.256 0.357 0.130
0.000 0.500 0.500

---

*2*
TmU2Se6 PBE-GGA optimized geometry; spin magnetization = 3.000 μB/f.u.; crystal system = monoclinic
1.0
4.026 0.000 -0.923
-0.463 8.136 -2.021
0.003 -0.070 9.263
Se U Tm
6 2 1
direct
0.327 0.442 0.653
0.673 0.558 0.347
0.991 0.763 0.982
0.009 0.237 0.018
0.663 0.098 0.326
0.337 0.902 0.674
0.165 0.323 0.329
0.835 0.677 0.671
0.500 0.000 0.000

---

Of them, *1* has the lowest stability.